Below is an optimized crystal structure of K3VSO3, with properties calculated at the GGA-PBEsol level.

Structure (CIF):
```
data_K3VSO3
_symmetry_space_group_name_H-M 'P 1 21/m 1'
_symmetry_Int_Tables_number 11
_symmetry_space_group_name_Hall '-P 2yb'
_cell_length_a 6.625
_cell_length_b 5.848
_cell_length_c 8.694
_cell_angle_alpha 90.00
_cell_angle_beta 103.35
_cell_angle_gamma 90.00
loop_
_atom_site_label
_atom_site_type_symbol
_atom_site_fract_x
_atom_site_fract_y
_atom_site_fract_z
K1 K 0.190 0.250 0.030
K2 K 0.264 0.250 0.496
K3 K 0.274 0.750 0.777
V1 V 0.202 0.750 0.289
S1 S 0.448 0.750 0.152
O1 O 0.053 0.514 0.239
O2 O 0.313 0.750 0.485
```

Computed properties:
The spin magnetization comes out at 0.0 μB/cell. The raw total energy comes out at -6.11 eV/atom. The density of states at the Fermi level comes out at 0.00 states/eV per atom. The value obtained for the raw formation energy is -1968 meV per atom.